Compound: YCoTcBi
Source: the Open Quantum Materials Database
Functional: PBE-GGA
Structure: relaxed

Properties
- SG = F-43m
- final energy (eV/atom) = -6.501
- total moment (μB/f.u.) = 3.9
- energy above the lowest structure with this stoichiometry (kJ per mole of atoms) = 34.0

Cell: 4.812 4.812 4.812 Å, 60.00 60.00 60.00°
Positions (direct):
Co: 0.750 0.750 0.750
Bi: 0.000 0.000 0.000
Y: 0.250 0.250 0.250
Tc: 0.500 0.500 0.500

Compound: ZnCoTcBi
Source: the Open Quantum Materials Database
Functional: PBE-GGA
Structure: relaxed

Properties
- SG = F-43m
- final energy (eV/atom) = -5.270
- total moment (μB/f.u.) = 0.0
- energy above the lowest structure with this stoichiometry (kJ per mole of atoms) = 0.0

Cell: 4.466 4.466 4.466 Å, 60.00 60.00 60.00°
Positions (direct):
Zn: 0.500 0.500 0.500
Tc: 0.250 0.250 0.250
Bi: 0.000 0.000 0.000
Co: 0.750 0.750 0.750

Compound: CoBiTe2
Source: the Open Quantum Materials Database
Functional: PBE-GGA
Structure: relaxed

Properties
- SG = F-43m
- final energy (eV/atom) = -3.692
- total moment (μB/f.u.) = 1.5

Cell: 5.136 5.136 5.136 Å, 60.00 60.00 60.00°
Positions (direct):
Bi: 0.500 0.500 0.500
Co: 0.250 0.250 0.250
Te: 0.000 0.000 0.000
Te: 0.750 0.750 0.750